Entry 1:
Material: LiAcBePd6
Method: DFT, GGA-PBE
State: relaxed

POSCAR file:
```
LiAcBePd6
1.0
5.984 0.000 0.000
0.000 9.366 0.000
-2.992 -4.683 5.765
Pd Li Be Ac
12 2 2 2
Cartesian
2.992 2.342 0.524
2.992 -2.342 4.889
-1.526 4.823 4.272
1.467 4.823 1.493
1.526 -0.140 4.272
-1.526 -0.140 4.272
0.000 2.342 5.241
4.518 4.823 1.493
4.518 -0.140 1.493
1.526 4.823 4.272
1.467 -0.140 1.493
0.000 7.025 0.876
1.496 -2.342 2.882
-1.496 -2.342 2.882
2.992 0.000 0.000
2.992 4.683 0.000
2.992 2.342 3.869
0.000 2.342 1.896
```

Computed properties:
DFT formation energy (meV/atom): -299
Total moment (μB per formula unit): 0.00
SG: No. 74
DOS at the Fermi energy (states/eV/f.u.): 3.48
E (eV per atom): -4.84

Entry 2:
Material: Ti8Sb2Rh
Method: DFT, GGA-PBE
State: relaxed

POSCAR file:
```
Ti8Sb2Rh
1.0
-1.453 -0.843 -4.061
1.087 -6.609 0.984
-5.822 2.603 3.920
Ti Rh Sb
8 1 2
Cartesian
-4.855 -1.978 2.147
-4.253 -4.072 -0.012
-1.935 -0.778 0.854
-4.308 0.856 1.363
-1.880 -5.705 -0.521
0.476 -5.070 0.882
-1.332 -2.871 -1.305
-6.664 0.220 -0.040
-0.726 -0.422 -2.031
-1.818 -3.529 1.383
-4.370 -1.321 -0.541
```

Computed properties:
Uncorrected formation energy (eV per atom): -0.32
Total moment (μB per formula unit): 0.00
SG: No. 12
DOS at the Fermi energy (states/eV/f.u.): 12.77
E (eV per atom): -7.48

Entry 3:
Material: KHfGa
Method: DFT, GGA-PBE
State: relaxed

POSCAR file:
```
KHfGa
1.0
8.640 0.000 0.000
0.000 2.996 0.000
0.000 0.000 11.498
K Ga Hf
4 4 4
Cartesian
7.375 0.749 4.892
3.055 0.749 0.857
5.585 2.247 10.641
1.265 2.247 6.606
1.512 2.247 3.254
2.808 0.749 9.003
7.128 0.749 8.243
5.833 2.247 2.494
4.706 2.247 7.113
3.934 0.749 4.384
8.254 0.749 1.364
0.386 2.247 10.133
```

Computed properties:
DFT formation energy (meV/atom): 242
Total moment (μB per formula unit): 0.00
SG: No. 62
DOS at the Fermi energy (states/eV/f.u.): 2.22
E (eV per atom): -4.45

Entry 4:
Material: Mg2AlRu
Method: DFT, GGA-PBE
State: relaxed

POSCAR file:
```
Mg2AlRu
1.0
5.045 0.028 0.000
-2.096 4.589 0.000
0.000 0.000 2.898
Mg Al Ru
2 1 1
Cartesian
0.000 0.000 0.000
1.475 2.309 0.000
-1.048 2.295 1.449
2.523 0.014 1.449
```

Computed properties:
DFT formation energy (meV/atom): 11
Total moment (μB per formula unit): 0.82
SG: No. 65
DOS at the Fermi energy (states/eV/f.u.): 2.51
E (eV per atom): -4.04

Entry 5:
Material: V2HgH
Method: DFT, GGA-PBE
State: relaxed

POSCAR file:
```
V2HgH
1.0
-0.011 0.085 5.344
5.054 -1.738 0.038
3.753 2.753 2.637
Hg V H
2 4 2
Cartesian
0.000 0.000 0.000
3.132 1.006 5.336
5.964 1.053 6.677
5.969 1.010 4.005
1.566 0.503 2.668
4.093 -0.366 2.687
5.664 0.094 2.683
2.522 -0.826 2.691
```

Computed properties:
Total moment (μB per formula unit): 0.00
SG: No. 227
DOS at the Fermi energy (states/eV/f.u.): 4.42
E (eV per atom): -5.13

Entry 6:
Material: Tb6Cu5Pt
Method: DFT, GGA-PBE
State: relaxed

POSCAR file:
```
Tb6Cu5Pt
1.0
-3.956 -0.354 -2.917
2.770 -5.622 -3.076
-5.295 -4.547 3.542
Tb Cu Pt
6 5 1
Cartesian
-1.292 -1.570 -2.220
-2.976 -6.015 -3.569
0.106 -4.406 -3.772
-2.121 -7.317 -0.419
-3.505 -4.508 1.118
-4.360 -3.206 -2.032
-4.795 -6.098 -1.096
-1.686 -4.425 -1.354
-3.131 -1.697 0.282
1.385 -2.811 -1.538
-6.120 -3.203 0.343
0.000 0.000 0.000
```

Computed properties:
DFT formation energy (meV/atom): -413
Total moment (μB per formula unit): 0.00
SG: No. 10
DOS at the Fermi energy (states/eV/f.u.): 7.05
E (eV per atom): -4.94

Entry 7:
Material: Ga3SiBr
Method: DFT, GGA-PBE
State: relaxed

POSCAR file:
```
Ga3SiBr
1.0
5.008 0.000 0.000
0.000 5.008 0.000
0.000 0.000 5.008
Br Ga Si
1 3 1
Cartesian
2.504 2.504 2.504
0.000 2.504 0.000
2.504 0.000 0.000
0.000 0.000 2.504
0.000 0.000 0.000
```

Computed properties:
Uncorrected formation energy (eV per atom): 0.15
Total moment (μB per formula unit): 0.00
SG: No. 221
DOS at the Fermi energy (states/eV/f.u.): 1.95
E (eV per atom): -3.09

Entry 8:
Material: VFeTe2H
Method: DFT, GGA-PBE
State: relaxed

POSCAR file:
```
VFeTe2H
1.0
5.117 0.000 0.000
0.000 4.666 0.000
0.000 0.000 5.117
H Te Fe V
1 2 1 1
Cartesian
2.559 2.333 2.559
0.000 0.000 2.559
2.559 0.000 0.000
0.000 2.333 0.000
0.000 0.000 0.000
```

Computed properties:
Total moment (μB per formula unit): 4.06
SG: No. 123
DOS at the Fermi energy (states/eV/f.u.): 5.08
E (eV per atom): -4.46